# La3ReSi | the Alexandria database | PBE | relaxed
data_La3ReSi
_space_group_name_H-M_alt 'P m -3 m'
_space_group_IT_number 221
_space_group_name_Hall '-P 4 2 3'
_cell_length_a 5.448
_cell_length_b 5.448
_cell_length_c 5.448
_cell_angle_alpha 90.00
_cell_angle_beta 90.00
_cell_angle_gamma 90.00
loop_
_atom_site_label
_atom_site_fract_x
_atom_site_fract_y
_atom_site_fract_z
La1 0.000 0.000 0.500
Re1 0.000 0.000 0.000
Si1 0.500 0.500 0.500
# Magnetization (μB/f.u.): 0.0
# D(E_F) (states/eV per cell): 0.40
# ΔE to the lowest computed polymorph (kJ/mol of atoms): 0.0
# E_form (uncorrected) (eV per atom): 0.177